Entry 1:
# K2SnOsSe | Alexandria | PBE | optimized geometry
data_K2SnOsSe
_chemical_formula_sum 'K2 Sn1 Os1 Se1'
_space_group_name_H-M_alt 'P 4/m m m'
_space_group_IT_number 123
_space_group_name_Hall '-P 4 2'
_cell_length_a 6.788
_cell_length_b 6.788
_cell_length_c 5.222
_cell_angle_alpha 90.00
_cell_angle_beta 90.00
_cell_angle_gamma 90.00
loop_
_atom_site_label
_atom_site_fract_x
_atom_site_fract_y
_atom_site_fract_z
K1 0.000 0.500 0.000
Sn1 0.000 0.000 0.000
Os1 0.500 0.500 0.500
Se1 0.000 0.000 0.500
# Crystal system: tetragonal
# E above lowest polymorph in meV per atom: 580
# M_tot in μB/cell: 3.05
# E_form (uncorrected) in eV/f.u.: 6.19


Entry 2:
# MgTaOs2 | Alexandria | PBE | optimized geometry
data_MgTaOs2
_chemical_formula_sum 'Mg2 Ta2 Os4'
_space_group_name_H-M_alt 'C m m 2'
_space_group_IT_number 35
_space_group_name_Hall 'C 2 -2'
_cell_length_a 2.985
_cell_length_b 4.644
_cell_length_c 9.390
_cell_angle_alpha 90.00
_cell_angle_beta 90.00
_cell_angle_gamma 90.00
loop_
_atom_site_label
_atom_site_fract_x
_atom_site_fract_y
_atom_site_fract_z
Mg1 0.000 0.000 0.000
Ta1 0.000 0.500 0.722
Os1 0.000 0.000 0.482
Os2 0.000 0.500 0.243
# Crystal system: orthorhombic
# Formation enthalpy at 0 K in meV per atom: 388
# M_tot in μB/cell: 0.00


Entry 3:
# LaPm5Sb6 | Alexandria | PBE | optimized geometry
data_LaPm5Sb6
_chemical_formula_sum 'La2 Pm10 Sb12'
_space_group_name_H-M_alt 'C 1 2/m 1'
_space_group_IT_number 12
_space_group_name_Hall '-C 2y'
_cell_length_a 7.824
_cell_length_b 13.551
_cell_length_c 7.823
_cell_angle_alpha 90.00
_cell_angle_beta 109.49
_cell_angle_gamma 90.00
loop_
_atom_site_label
_atom_site_fract_x
_atom_site_fract_y
_atom_site_fract_z
La1 0.000 0.000 0.000
Pm1 0.000 0.165 0.500
Pm2 0.000 0.333 0.000
Pm3 0.000 0.500 0.500
Sb1 0.247 0.332 0.747
Sb2 0.247 0.500 0.251
# Crystal system: monoclinic
# M_tot in μB/cell: 0.00
# E_form (uncorrected) in eV/f.u.: -14.41


Entry 4:
# HoPuSn2 | Alexandria | PBE | optimized geometry
data_HoPuSn2
_chemical_formula_sum 'Ho3 Pu3 Sn6'
_space_group_name_H-M_alt 'R -3 m'
_space_group_IT_number 166
_space_group_name_Hall '-R 3 2"'
_cell_length_a 3.5686
_cell_length_b 3.5686
_cell_length_c 30.1629
_cell_angle_alpha 90.00
_cell_angle_beta 90.00
_cell_angle_gamma 120.00
loop_
_atom_site_label
_atom_site_fract_x
_atom_site_fract_y
_atom_site_fract_z
Ho1 0.0000 0.0000 0.0000
Pu1 0.0000 0.0000 0.5000
Sn1 0.0000 0.0000 0.2517
# Crystal system: trigonal
# Formation enthalpy at 0 K in meV per atom: -321
# M_tot in μB/cell: 17.15


Entry 5:
# NaEu2Ni | Alexandria | PBE | optimized geometry
data_NaEu2Ni
_chemical_formula_sum 'Na1 Eu2 Ni1'
_space_group_name_H-M_alt 'P 4/m m m'
_space_group_IT_number 123
_space_group_name_Hall '-P 4 2'
_cell_length_a 3.561
_cell_length_b 3.561
_cell_length_c 9.540
_cell_angle_alpha 90.00
_cell_angle_beta 90.00
_cell_angle_gamma 90.00
loop_
_atom_site_label
_atom_site_fract_x
_atom_site_fract_y
_atom_site_fract_z
Na1 0.000 0.000 0.000
Eu1 0.500 0.500 0.322
Ni1 0.000 0.000 0.500
# Crystal system: tetragonal
# Formation enthalpy at 0 K in meV per atom: -14
# M_tot in μB/cell: 14.64


Entry 6:
# LuTi2W | Alexandria | PBE | optimized geometry
data_LuTi2W
_chemical_formula_sum 'Lu1 Ti2 W1'
_space_group_name_H-M_alt 'P 4/m m m'
_space_group_IT_number 123
_space_group_name_Hall '-P 4 2'
_cell_length_a 3.314
_cell_length_b 3.314
_cell_length_c 7.051
_cell_angle_alpha 90.00
_cell_angle_beta 90.00
_cell_angle_gamma 90.00
loop_
_atom_site_label
_atom_site_fract_x
_atom_site_fract_y
_atom_site_fract_z
Lu1 0.000 0.000 0.000
Ti1 0.500 0.500 0.302
W1 0.000 0.000 0.500
# Crystal system: tetragonal
# Formation enthalpy at 0 K in meV per atom: 98
# M_tot in μB/cell: 0.00